Record 1
A plane-wave DFT calculation with PBE-GGA was carried out for LiZrAu3S4 after structural relaxation.

## Properties
Energy above the most stable polymorph in this dataset ... 31 meV/atom
Crystal system ... monoclinic

The structure in CIF format:
```
data_LiZrAu3S4
_chemical_formula_sum 'Li2 Zr2 Au6 S8'
_space_group_name_H-M_alt 'P 1 21/m 1'
_space_group_IT_number 11
_space_group_name_Hall '-P 2yb'
_cell_length_a 5.664
_cell_length_b 8.353
_cell_length_c 9.026
_cell_angle_alpha 90.00
_cell_angle_beta 91.64
_cell_angle_gamma 90.00
loop_
_atom_site_label
_atom_site_type_symbol
_atom_site_fract_x
_atom_site_fract_y
_atom_site_fract_z
Li1 Li 0.193 0.250 0.275
Zr1 Zr 0.157 0.750 0.251
Au1 Au 0.316 0.075 0.910
Au2 Au 0.349 0.250 0.617
S1 S 0.024 0.250 0.016
S2 S 0.030 0.750 0.502
S3 S 0.413 0.510 0.275
```


Record 2
A plane-wave DFT calculation with PBE-GGA was carried out for LiZrAu3S4 after structural relaxation.

## Properties
Energy above the most stable polymorph in this dataset ... 0 meV/atom
Crystal system ... cubic

The structure in CIF format:
```
data_LiZrAu3S4
_chemical_formula_sum 'Li1 Zr1 Au3 S4'
_space_group_name_H-M_alt 'P -4 3 m'
_space_group_IT_number 215
_space_group_name_Hall 'P -4 2 3'
_cell_length_a 5.953
_cell_length_b 5.953
_cell_length_c 5.953
_cell_angle_alpha 90.00
_cell_angle_beta 90.00
_cell_angle_gamma 90.00
loop_
_atom_site_label
_atom_site_type_symbol
_atom_site_fract_x
_atom_site_fract_y
_atom_site_fract_z
Li1 Li 0.000 0.000 0.000
Zr1 Zr 0.500 0.500 0.500
Au1 Au 0.000 0.500 0.500
S1 S 0.258 0.258 0.258
```


Record 3
A plane-wave DFT calculation with PBE-GGA was carried out for LiZrAuS3 after structural relaxation.

## Properties
Energy above the most stable polymorph in this dataset ... 47 meV/atom
Crystal system ... monoclinic

The structure in CIF format:
```
data_LiZrAuS3
_chemical_formula_sum 'Li2 Zr2 Au2 S6'
_space_group_name_H-M_alt 'P 1 21/m 1'
_space_group_IT_number 11
_space_group_name_Hall '-P 2yb'
_cell_length_a 7.913
_cell_length_b 3.713
_cell_length_c 8.671
_cell_angle_alpha 90.00
_cell_angle_beta 104.10
_cell_angle_gamma 90.00
loop_
_atom_site_label
_atom_site_type_symbol
_atom_site_fract_x
_atom_site_fract_y
_atom_site_fract_z
Li1 Li 0.166 0.250 0.193
Zr1 Zr 0.182 0.750 0.671
Au1 Au 0.370 0.250 0.955
S1 S 0.069 0.750 0.359
S2 S 0.169 0.750 0.968
S3 S 0.393 0.250 0.653
```